No. 1
Material: Pm3DyPu3S8
Method: DFT, PBE-GGA
State: optimized geometry

Results
Spin magnetization   16.85 Bohr magnetons per cell
Density of states at the Fermi level   29.3 states/eV per cell
Calculated total energy   -0.6077 Ry/atom

Structure (POSCAR):
```
Pm3DyPu3S8
1.0
-2.743 -1.917 -7.229
-0.518 -5.242 5.976
-4.606 6.528 0.017
Pm S Pu Dy
3 8 3 1
Direct
0.000 0.000 0.000
0.500 0.500 0.000
0.000 0.500 0.000
0.245 0.490 0.742
0.249 0.004 0.258
0.747 0.494 0.742
0.755 0.510 0.258
0.253 0.506 0.258
0.751 0.996 0.742
0.755 0.004 0.258
0.245 0.996 0.742
0.500 0.000 0.500
0.000 0.500 0.500
0.500 0.500 0.500
0.000 0.000 0.500
```

No. 2
Material: Pm3Dy2PuS6
Method: DFT, PBE-GGA
State: optimized geometry

Results
Spin magnetization   5.82 Bohr magnetons per cell
Density of states at the Fermi level   7.8 states/eV per cell
Calculated total energy   -0.5299 Ry/atom

Structure (POSCAR):
```
Pm3Dy2PuS6
1.0
3.953 0.000 0.000
0.000 7.993 0.271
-1.977 -2.318 8.364
S Pm Pu Dy
6 3 1 2
Direct
0.666 0.091 0.332
0.998 0.754 0.995
0.670 0.576 0.340
0.334 0.909 0.668
0.330 0.424 0.660
0.002 0.246 0.005
0.500 0.500 0.000
0.835 0.165 0.669
0.165 0.835 0.331
0.500 0.000 0.000
0.164 0.329 0.329
0.836 0.671 0.671
```

No. 3
Material: Pm4Dy3PuS8
Method: DFT, PBE-GGA
State: optimized geometry

Results
Spin magnetization   5.65 Bohr magnetons per cell
Density of states at the Fermi level   12.6 states/eV per cell
Calculated total energy   -0.5150 Ry/atom

Structure (POSCAR):
```
Pm4Dy3PuS8
1.0
-1.026 -7.505 2.359
5.355 -2.423 -5.380
1.957 5.586 5.283
Pu S Pm Dy
1 8 4 3
Direct
0.000 0.500 0.000
0.247 0.740 0.495
0.745 0.740 0.992
0.254 0.262 0.508
0.746 0.738 0.492
0.247 0.740 0.992
0.753 0.260 0.008
0.753 0.260 0.505
0.255 0.260 0.008
0.500 0.000 0.000
0.500 0.000 0.500
0.000 0.000 0.000
0.000 0.000 0.500
0.500 0.500 0.500
0.000 0.500 0.500
0.500 0.500 0.000
```

No. 4
Material: PmDyPu2Sb4
Method: DFT, PBE-GGA
State: optimized geometry

Results
Spin magnetization   0.03 Bohr magnetons per cell
Density of states at the Fermi level   31.9 states/eV per cell
Calculated total energy   -0.5638 Ry/atom

Structure (POSCAR):
```
PmDyPu2Sb4
1.0
-1.347 -3.027 2.958
-1.523 -4.884 -5.693
6.245 -4.233 -1.488
Sb Pu Pm Dy
4 2 1 1
Direct
0.000 0.247 0.255
0.500 0.751 0.253
0.000 0.753 0.745
0.500 0.249 0.747
0.500 0.000 0.500
0.000 0.000 0.000
0.500 0.500 0.000
0.000 0.500 0.500
```